Al2ReH5 | Alexandria via LeMat-Bulk | PBE | relaxed; V = 71.55 Å³/cell; electronic total energy = -4.647 eV/atom
1.0
-4.106 -2.252 -2.000
4.460 -1.675 -0.166
-1.737 -3.734 1.804
Al Re H
2 1 5
Cartesian
-0.773 -2.617 -0.287
0.306 -5.020 0.221
2.527 -5.511 1.545
-4.584 -5.149 0.065
0.901 -1.483 -0.027
-2.498 -6.281 -0.480
2.761 -2.591 -0.050
-2.251 -4.023 0.035

TlGa5 | Alexandria via LeMat-Bulk | PBE | relaxed; V = 132.72 Å³/cell; relative energy among the computed polymorphs = 41 meV per atom
1.0
5.007 0.000 0.000
0.000 5.533 0.000
0.000 -2.766 4.791
Tl Ga
1 5
Cartesian
0.000 0.000 0.000
2.503 1.383 2.396
0.000 0.000 3.194
2.503 2.766 0.000
2.503 -1.383 2.396
0.000 2.766 1.597